1.
4
Lattice="3.535 0.000 0.000 1.767 3.061 0.000 1.767 1.020 7.015" Properties=species:S:1:pos:R:3 comment="Ga2AuS PBE optimized geometry" final_energy_ev_per_cell=-14.367 raw_formation_energy_ev_per_atom=-0.2272 pbc="T T T"
Ga 1.767 1.020 5.202
Ga 1.767 1.020 1.812
Au 5.302 3.061 6.966
S 3.535 2.041 3.558

2.
8
Lattice="8.072 0.284 2.564 3.858 5.322 2.070 1.806 -0.689 6.273" Properties=species:S:1:pos:R:3 comment="GaAuS6 PBE optimized geometry" final_energy_ev_per_cell=-31.397 raw_formation_energy_ev_per_atom=-0.0409 pbc="T T T"
Ga 6.868 2.459 5.453
Au 0.000 0.000 0.000
S 6.659 4.515 6.204
S 6.663 1.189 7.680
S 9.354 1.812 8.051
S 7.073 3.729 3.227
S 7.077 0.402 4.703
S 4.382 3.105 2.855

Question: What is the formula in the second record?
Answer: GaAuS6